(1)
A plane-wave DFT calculation with meta-GGA SCAN was carried out for a PBEsol-optimized structure of CaTcP2S.

**Crystal system**: tetragonal
**Formation energy from raw total energies**: 1.33 eV per atom
**Total energy**: -13.70 eV/atom

Geometry as POSCAR:
```
CaTcP2S
1.0
5.005 0.000 0.000
0.000 5.005 0.000
0.000 0.000 4.928
Ca Tc P S
1 1 2 1
Direct
0.000 0.000 0.000
0.500 0.500 0.500
0.000 0.500 0.000
0.500 0.000 0.000
0.000 0.000 0.500
```



(2)
A plane-wave DFT calculation with meta-GGA SCAN was carried out for a PBEsol-optimized structure of CuAg3W.

**Crystal system**: cubic
**Total energy**: -33.71 eV/atom

Geometry as POSCAR:
```
CuAg3W
1.0
4.959 0.000 0.000
0.000 4.959 0.000
0.000 0.000 4.959
Cu Ag W
1 3 1
Direct
0.000 0.000 0.000
0.000 0.500 0.500
0.500 0.000 0.500
0.500 0.500 0.000
0.500 0.500 0.500
```



Which formula does entry 2 have?
CuAg3W



Among the records above, which one has the highest total energy?
CaTcP2S